Compound: RbSb2I8
Source: Alexandria
Functional: GGA-PBE
Structure: relaxed

N(E_F): 0.595 states/eV per atom
E_form (uncorrected): -0.418 eV/atom
Raw total energy: -2.3830 eV per atom

Lattice parameters (Å, degrees): 10.0899 10.0899 7.7569 101.99 101.99 70.38
With the nearest neighbours (Å) after each atom.
Element x y z (fractional)
Rb1 0.0000 0.0000 0.0000  6 I 3.78-3.79
Sb1 0.2223 0.2223 0.7064  4 I 2.84-2.95
Sb2 0.7777 0.7777 0.2936  4 I 2.84-2.95
I1 0.0652 0.6824 0.2292  1 Sb 2.85
I2 0.2111 0.2111 0.3343  1 Sb 2.84
I3 0.3176 0.9348 0.7708  1 Sb 2.85
I4 0.4003 0.4003 0.9040  1 Sb 2.95, 1 I 3.25
I5 0.5997 0.5997 0.0960  1 Sb 2.95, 1 I 3.25
I6 0.6824 0.0652 0.2292  1 Sb 2.85
I7 0.7889 0.7889 0.6657  1 Sb 2.84
I8 0.9348 0.3176 0.7708  1 Sb 2.85